(1)
Compound: Rb3BiF
Source: Alexandria
Functional: GGA-PBEsol
Structure: relaxed

Space-group type = Pm-3m, No. 221
Total magnetization = 1.007 Bohr magnetons per cell
Uncorrected formation energy = -1.215 eV per atom

```
data_Rb3BiF
_space_group_name_H-M_alt 'P 1'
_space_group_IT_number 1
_cell_length_a 5.5938
_cell_length_b 5.5938
_cell_length_c 5.5938
_cell_angle_alpha 90.00
_cell_angle_beta 90.00
_cell_angle_gamma 90.00
loop_
_space_group_symop_operation_xyz
'x,y,z'
loop_
_atom_site_label
_atom_site_type_symbol
_atom_site_fract_x
_atom_site_fract_y
_atom_site_fract_z
Bi1 Bi 0.5000 0.5000 0.5000
F1 F 0.0000 0.0000 0.0000
Rb1 Rb 0.0000 0.5000 0.0000
Rb2 Rb 0.0000 0.0000 0.5000
Rb3 Rb 0.5000 0.0000 0.0000
```

(2)
Compound: SrFeSi2
Source: Alexandria
Functional: GGA-PBEsol
Structure: relaxed

Space-group type = P4/mmm, No. 123
Total magnetization = 2.493 Bohr magnetons per cell
Uncorrected formation energy = 0.412 eV per atom

```
data_SrFeSi2
_space_group_name_H-M_alt 'P 1'
_space_group_IT_number 1
_cell_length_a 4.1180
_cell_length_b 4.1180
_cell_length_c 4.2686
_cell_angle_alpha 90.00
_cell_angle_beta 90.00
_cell_angle_gamma 90.00
loop_
_space_group_symop_operation_xyz
'x,y,z'
loop_
_atom_site_label
_atom_site_type_symbol
_atom_site_fract_x
_atom_site_fract_y
_atom_site_fract_z
Si1 Si 0.5000 0.0000 0.0000
Si2 Si 0.0000 0.5000 0.0000
Sr1 Sr 0.5000 0.5000 0.5000
Fe1 Fe 0.0000 0.0000 0.5000
```

(3)
Compound: In3PdBr
Source: Alexandria
Functional: GGA-PBEsol
Structure: relaxed

Space-group type = Pm-3m, No. 221
Total magnetization = 0.000 Bohr magnetons per cell
Uncorrected formation energy = 0.755 eV per atom

```
data_In3PdBr
_space_group_name_H-M_alt 'P 1'
_space_group_IT_number 1
_cell_length_a 5.5872
_cell_length_b 5.5872
_cell_length_c 5.5872
_cell_angle_alpha 90.00
_cell_angle_beta 90.00
_cell_angle_gamma 90.00
loop_
_space_group_symop_operation_xyz
'x,y,z'
loop_
_atom_site_label
_atom_site_type_symbol
_atom_site_fract_x
_atom_site_fract_y
_atom_site_fract_z
In1 In 0.0000 0.5000 0.0000
In2 In 0.0000 0.0000 0.5000
In3 In 0.5000 0.0000 0.0000
Br1 Br 0.0000 0.0000 0.0000
Pd1 Pd 0.5000 0.5000 0.5000
```

(4)
Compound: KY2Sc
Source: Alexandria
Functional: GGA-PBEsol
Structure: relaxed

Formation energy = 1.2 eV/f.u.
Space-group type = Pm, No. 6
Total magnetization = 0.236 Bohr magnetons per cell

```
data_KY2Sc
_space_group_name_H-M_alt 'P 1'
_space_group_IT_number 1
_cell_length_a 3.4986
_cell_length_b 3.4991
_cell_length_c 11.1529
_cell_angle_alpha 90.11
_cell_angle_beta 90.00
_cell_angle_gamma 90.00
loop_
_space_group_symop_operation_xyz
'x,y,z'
loop_
_atom_site_label
_atom_site_type_symbol
_atom_site_fract_x
_atom_site_fract_y
_atom_site_fract_z
Y1 Y 0.5000 0.5020 0.2049
Y2 Y 0.0000 0.0007 0.9905
Sc1 Sc 0.5000 0.4995 0.7956
K1 K 0.0000 0.9977 0.5090
```

(5)
Compound: K2BeNbB
Source: Alexandria
Functional: GGA-PBEsol
Structure: relaxed

Formation energy = 8.8 eV/f.u.
Space-group type = P4/mmm, No. 123
Total magnetization = 2.273 Bohr magnetons per cell

```
data_K2BeNbB
_space_group_name_H-M_alt 'P 1'
_space_group_IT_number 1
_cell_length_a 4.1156
_cell_length_b 6.4642
_cell_length_c 6.4642
_cell_angle_alpha 90.00
_cell_angle_beta 90.00
_cell_angle_gamma 90.00
loop_
_space_group_symop_operation_xyz
'x,y,z'
loop_
_atom_site_label
_atom_site_type_symbol
_atom_site_fract_x
_atom_site_fract_y
_atom_site_fract_z
Nb1 Nb 0.0000 0.0000 0.0000
K1 K 0.0000 0.5000 0.0000
K2 K 0.0000 0.0000 0.5000
B1 B 0.5000 0.0000 0.0000
Be1 Be 0.5000 0.5000 0.5000
```

(6)
Compound: La2MgIr
Source: Alexandria
Functional: GGA-PBEsol
Structure: relaxed

Formation energy = -1.2 eV/f.u.
Space-group type = Amm2, No. 38
Total magnetization = 0.000 Bohr magnetons per cell

```
data_La2MgIr
_space_group_name_H-M_alt 'P 1'
_space_group_IT_number 1
_cell_length_a 3.8227
_cell_length_b 4.4848
_cell_length_c 6.7532
_cell_angle_alpha 109.39
_cell_angle_beta 90.00
_cell_angle_gamma 90.00
loop_
_space_group_symop_operation_xyz
'x,y,z'
loop_
_atom_site_label
_atom_site_type_symbol
_atom_site_fract_x
_atom_site_fract_y
_atom_site_fract_z
La1 La 0.5000 0.4262 0.8524
La2 La 0.0000 0.1194 0.2388
Mg1 Mg 0.0000 0.8037 0.6074
Ir1 Ir 0.5000 0.6472 0.2944
```

- Which of these has the highest total magnetization?
  SrFeSi2

- Look up the total magnetization of the fifth one.
  2.273 Bohr magnetons per cell